Here is a relaxed PmYIrO6 crystal from Alexandria. Energies are from GGA-PBE.

CIF file:
```
data_PmYIrO6
_chemical_formula_sum 'Pm2 Y2 Ir2 O12'
_symmetry_space_group_name_H-M 'P -3 1 c'
_symmetry_Int_Tables_number 163
_symmetry_space_group_name_Hall '-P 3 2c'
_cell_length_a 5.6043
_cell_length_b 5.6043
_cell_length_c 9.3940
_cell_angle_alpha 90.00
_cell_angle_beta 90.00
_cell_angle_gamma 120.00
loop_
_atom_site_label
_atom_site_type_symbol
_atom_site_fract_x
_atom_site_fract_y
_atom_site_fract_z
_atom_site_occupancy
Pm1 Pm 0.3333 0.6667 0.2500 1
Y1 Y 0.0000 0.0000 0.0000 1
Ir1 Ir 0.3333 0.6667 0.7500 1
O1 O 0.0517 0.3708 0.6320 1
```

Output
total magnetic moment = 2.83 μB/f.u.
formation energy from raw total energies = -2.139 eV per atom
total energy = -7.676 eV per atom
mass density = 6.79 g cm⁻³